Record 1
PrHoCo2 GGA-PBE relaxed; energy above the lowest structure with this stoichiometry = 0.0967 eV/atom; crystal system = cubic; size of the total moment = 0.8 μB/f.u.; SG = Fm-3m (225)
1.0
0.0000 3.4099 3.4099
3.4099 0.0000 3.4099
3.4099 3.4099 0.0000
Pr Ho Co
1 1 2
Direct
0.0000 0.0000 0.0000 Pr
0.5000 0.5000 0.5000 Ho
0.2500 0.2500 0.2500 Co
0.7500 0.7500 0.7500 Co

---

Record 2
Ac3Tl2Ni GGA-PBE relaxed; crystal system = orthorhombic; size of the total moment = 0.0 μB/f.u.; SG = Cmcm (63)
1.0
8.8957 -2.7966 0.0000
8.8957 2.7966 0.0000
0.0000 0.0000 8.1450
Ac Tl Ni
6 4 2
Direct
0.0006 0.9994 0.7500 Ac
0.3702 0.3702 0.0000 Ac
0.3702 0.3702 0.5000 Ac
0.6298 0.6298 0.0000 Ac
0.6298 0.6298 0.5000 Ac
0.9994 0.0006 0.2500 Ac
0.1962 0.1964 0.2500 Tl
0.1964 0.1962 0.7500 Tl
0.8036 0.8038 0.2500 Tl
0.8038 0.8036 0.7500 Tl
0.4994 0.5006 0.2500 Ni
0.5006 0.4994 0.7500 Ni

---

The following formation energy values (in eV/atom) correspond, in order, to the records above: -0.017 -0.264.